Computed, not measured: crystalline CrAgMoF6 at its relaxed geometry at the PBE with a Hubbard U level of DFT. Values from VASP.

Geometry as Quantum ESPRESSO input:
```
&SYSTEM
  ibrav = 0, nat = 18, ntyp = 4
/
ATOMIC_SPECIES
Cr 52.00 Cr.upf
Ag 107.87 Ag.upf
Mo 95.94 Mo.upf
F 19.00 F.upf
CELL_PARAMETERS angstrom
-4.607 -1.979 -2.762
5.206 -0.632 -2.297
0.998 -8.896 4.710
ATOMIC_POSITIONS crystal
Cr 0.333 0.667 0.250
Cr 0.667 0.333 0.750
Ag 0.000 0.000 0.000
Ag 0.000 0.000 0.500
Mo 0.667 0.333 0.250
Mo 0.333 0.667 0.750
F 0.641 0.637 0.144
F 0.997 0.359 0.144
F 0.359 0.997 0.644
F 0.003 0.641 0.856
F 0.363 0.359 0.356
F 0.997 0.637 0.356
F 0.637 0.997 0.856
F 0.641 0.003 0.356
F 0.003 0.363 0.644
F 0.363 0.003 0.144
F 0.637 0.641 0.644
F 0.359 0.363 0.856
```

Summary:
* electronic total energy: -95.525 eV/cell
* space group: P-31c, No. 163